Here is a relaxed Zr2TiSb2 crystal from Alexandria via LeMat-Bulk. Energies are from PBE-GGA.

Computed properties:
Its distance to the lowest polymorph of the same formula is 0.0 meV/atom. Its uncorrected formation energy is -0.556 eV/atom. Its magnetic moment is 0.000 μB per atom.

The structure in CIF format:
```
data_Zr2TiSb2
_symmetry_space_group_name_H-M 'C m c m'
_symmetry_Int_Tables_number 63
_symmetry_space_group_name_Hall '-C 2c 2'
_cell_length_a 4.822
_cell_length_b 15.500
_cell_length_c 5.857
_cell_angle_alpha 90.00
_cell_angle_beta 90.00
_cell_angle_gamma 90.00
loop_
_atom_site_label
_atom_site_fract_x
_atom_site_fract_y
_atom_site_fract_z
Zr1 0.000 0.000 0.000
Zr2 0.000 0.196 0.250
Ti1 0.000 0.393 0.250
Sb1 0.000 0.184 0.750
Sb2 0.000 0.425 0.750
```